This record from the Alexandria database describes a relaxed Ho2Ti2AlRh5 crystal. The functional is PBE.

Output
The total moment is 0.00 μB per formula unit. As for the energy relative to the elements: -0.697 eV per atom.

Unit cell a=3.1339 b=10.4512 c=10.4512 alpha=90.00 beta=90.00 gamma=90.00
Sites, in units of the cell vectors:
1 Ti 0.0000 0.1340 0.6340
2 Ti 0.0000 0.8660 0.3660
3 Ti 0.0000 0.3660 0.1340
4 Ti 0.0000 0.6340 0.8660
5 Rh 0.5000 0.3047 0.5502
6 Rh 0.5000 0.8047 0.9498
7 Rh 0.5000 0.0000 0.5000
8 Rh 0.5000 0.5502 0.6953
9 Rh 0.5000 0.6953 0.4498
10 Rh 0.5000 0.4498 0.3047
11 Rh 0.5000 0.1953 0.0502
12 Rh 0.5000 0.0502 0.8047
13 Rh 0.5000 0.9498 0.1953
14 Rh 0.5000 0.5000 0.0000
15 Ho 0.0000 0.6729 0.1729
16 Ho 0.0000 0.3271 0.8271
17 Ho 0.0000 0.1729 0.3271
18 Ho 0.0000 0.8271 0.6729
19 Al 0.0000 0.5000 0.5000
20 Al 0.0000 0.0000 0.0000

This record from the Alexandria database describes a relaxed ScSiP2W crystal. The functional is PBE.

Output
The total moment is 1.65 μB per formula unit. The value obtained for the formation energy without anion corrections is 1130 meV/atom.

Unit cell a=4.4495 b=4.7174 c=4.4495 alpha=90.00 beta=90.00 gamma=90.00
Last column: magnetic moment on the atom in μB.
Sites, in units of the cell vectors:
1 P 0.5000 0.0000 0.0000  -0.03
2 P 0.0000 0.0000 0.5000  -0.03
3 W 0.5000 0.5000 0.5000  1.35
4 Si 0.0000 0.0000 0.0000  0.01
5 Sc 0.0000 0.5000 0.0000  -0.05